Arrangement a

The following is a GGA-PBE calculation of ErSc2Rh after structural relaxation, from the Alexandria database.

Values from the calculation:
crystal system	trigonal
N(E_F)	2.35	states/eV per cell

The structure in CIF format:
```
data_ErSc2Rh
_cell_length_a 6.236
_cell_length_b 6.236
_cell_length_c 6.236
_cell_angle_alpha 41.65
_cell_angle_beta 41.65
_cell_angle_gamma 41.65
_space_group_name_H-M_alt 'P 1'
_space_group_IT_number 1
loop_
_space_group_symop_operation_xyz
'x,y,z'
loop_
_atom_site_label
_atom_site_fract_x
_atom_site_fract_y
_atom_site_fract_z
Er1 0.000 0.000 0.000
Sc1 0.214 0.214 0.214
Sc2 0.448 0.448 0.448
Rh1 0.825 0.825 0.825
```


Arrangement b

The following is a GGA-PBE calculation of ErSc2Rh after structural relaxation, from the Alexandria database.

Values from the calculation:
crystal system	trigonal
N(E_F)	4.21	states/eV per cell

The structure in CIF format:
```
data_ErSc2Rh
_cell_length_a 5.627
_cell_length_b 5.627
_cell_length_c 5.627
_cell_angle_alpha 48.05
_cell_angle_beta 48.05
_cell_angle_gamma 48.05
_space_group_name_H-M_alt 'P 1'
_space_group_IT_number 1
loop_
_space_group_symop_operation_xyz
'x,y,z'
loop_
_atom_site_label
_atom_site_fract_x
_atom_site_fract_y
_atom_site_fract_z
Er1 0.000 0.000 0.000
Sc1 0.218 0.218 0.218
Sc2 0.782 0.782 0.782
Rh1 0.500 0.500 0.500
```


The structure with the most favorable energy is arrangement a; the runner-up is 124 meV/atom above it.